Compound: Ta3FeAu
Source: Alexandria via LeMat-Bulk
Functional: GGA-PBE
Structure: relaxed

Calculated values
Space-group type: Pm-3m
Spin magnetization, μB/atom: 0.454
E_form, eV/f.u.: 10.15

a b c (Å): 4.9189 4.9189 4.9189
angles (deg): 90.00 90.00 90.00
With the nearest neighbours (Å) after each atom.
Positions (direct):
Au 0.0000 0.0000 0.0000  6 Ta 2.46
Ta 0.0000 0.5000 0.0000  2 Au 2.46
Fe 0.5000 0.5000 0.5000  12 Ta 3.48
Ta 0.5000 0.0000 0.0000  2 Au 2.46
Ta 0.0000 0.0000 0.5000  2 Au 2.46